Arrangement P

YPtPb2 | GGA-PBE | relaxed

Summary:
The crystal system is tetragonal. The value obtained for the total moment is 0.000 μB per atom. For the calculated volume, the calculation gives 26.2 A^3/atom.

Unit cell a=3.551 b=3.551 c=8.305 alpha=90.00 beta=90.00 gamma=90.00
Fractional positions:
Pb 0.500 0.500 0.290
Pb 0.000 0.000 0.989
Y 0.500 0.500 0.697
Pt 0.000 0.000 0.524


Arrangement Q

YPtPb2 | GGA-PBE | relaxed

Summary:
The crystal system is tetragonal. The value obtained for the total moment is 0.000 μB per atom. For the calculated volume, the calculation gives 24.2 A^3/atom.

Unit cell a=4.590 b=4.590 c=4.592 alpha=90.00 beta=90.00 gamma=90.00
Fractional positions:
Y 0.000 0.500 0.500
Pb 0.500 0.500 0.000
Pb 0.000 0.000 0.000
Pt 0.500 0.000 0.500


arrangement P takes first place; second place is 0.102 eV/atom up.


Arrangement P

YPtPb2 | GGA-PBE | relaxed

Summary:
The crystal system is orthorhombic. The value obtained for the total moment is 0.000 μB per atom. For the calculated volume, the calculation gives 26.8 A^3/atom.

Unit cell a=6.866 b=6.866 c=6.866 alpha=148.31 beta=140.62 gamma=51.40
Fractional positions:
Pt 0.750 0.250 0.500
Pb 0.943 0.943 0.000
Pb 0.557 0.557 0.000
Y 0.250 0.750 0.500


Arrangement Q

YPtPb2 | GGA-PBE | relaxed

Summary:
The crystal system is tetragonal. The value obtained for the total moment is 0.000 μB per atom. For the calculated volume, the calculation gives 24.3 A^3/atom.

Unit cell a=3.559 b=3.559 c=7.681 alpha=90.00 beta=90.00 gamma=90.00
Fractional positions:
Pt 0.500 0.500 0.250
Pb 0.000 0.000 0.464
Pb 0.000 0.000 0.036
Y 0.500 0.500 0.750


Arrangement R

YPtPb2 | GGA-PBE | relaxed

Summary:
The crystal system is monoclinic. The value obtained for the total moment is 0.000 μB per atom. For the calculated volume, the calculation gives 25.4 A^3/atom.

Unit cell a=5.992 b=5.992 c=5.072 alpha=66.61 beta=66.61 gamma=37.85
Fractional positions:
Pb 0.215 0.215 0.264
Pb 0.000 0.000 0.999
Pt 0.496 0.496 0.546
Y 0.789 0.789 0.691


arrangement R takes first place; second place is 0.008 eV/atom up.


Arrangement P

YPt2Pb2 | GGA-PBE | relaxed

Summary:
The crystal system is tetragonal. The value obtained for the total moment is 0.000 μB per atom. For the calculated volume, the calculation gives 23.6 A^3/atom.

Unit cell a=7.347 b=7.347 c=4.376 alpha=90.00 beta=90.00 gamma=90.00
Fractional positions:
Y 0.000 0.000 0.000
Y 0.500 0.500 0.000
Pt 0.868 0.632 0.000
Pt 0.368 0.868 0.000
Pt 0.132 0.368 0.000
Pt 0.632 0.132 0.000
Pb 0.825 0.325 0.500
Pb 0.675 0.825 0.500
Pb 0.175 0.675 0.500
Pb 0.325 0.175 0.500


Arrangement Q

YPt2Pb2 | GGA-PBE | relaxed

Summary:
The crystal system is tetragonal. The value obtained for the total moment is 0.000 μB per atom. For the calculated volume, the calculation gives 25.0 A^3/atom.

Unit cell a=4.978 b=4.978 c=6.145 alpha=66.11 beta=66.11 gamma=90.00
Fractional positions:
Pb 0.643 0.643 0.715
Pb 0.357 0.357 0.285
Y 0.000 0.000 0.000
Pt 0.750 0.250 0.500
Pt 0.250 0.750 0.500


arrangement P takes first place; second place is 0.209 eV/atom up.


Arrangement P

YPt2Pb2 | GGA-PBE | relaxed

Summary:
The crystal system is tetragonal. The value obtained for the total moment is 0.000 μB per atom. For the calculated volume, the calculation gives 24.2 A^3/atom.

Unit cell a=4.311 b=4.311 c=7.181 alpha=72.53 beta=72.53 gamma=90.00
Fractional positions:
Y 0.000 0.000 0.000
Pt 0.598 0.598 0.803
Pt 0.402 0.402 0.197
Pb 0.250 0.750 0.500
Pb 0.750 0.250 0.500


Arrangement Q

YPt2Pb2 | GGA-PBE | relaxed

Summary:
The crystal system is tetragonal. The value obtained for the total moment is 0.087 μB per atom. For the calculated volume, the calculation gives 22.8 A^3/atom.

Unit cell a=8.236 b=8.236 c=3.364 alpha=90.00 beta=90.00 gamma=90.00
Fractional positions:
Pt 0.162 0.662 0.500
Pt 0.338 0.162 0.500
Pt 0.838 0.338 0.500
Pt 0.662 0.838 0.500
Pb 0.637 0.137 0.000
Pb 0.137 0.363 0.000
Pb 0.363 0.863 0.000
Pb 0.863 0.637 0.000
Y 0.500 0.500 0.000
Y 0.000 0.000 0.000


arrangement P takes first place; second place is 0.160 eV/atom up.